(1)
This record from Alexandria via LeMat-Bulk describes a relaxed structure of ThGa2CuRu2. The functional is GGA-PBE.

Cell lengths 4.4683, 4.4683, 5.5399 Å; angles 90.00, 90.00, 90.00 degrees
Fractional positions:
Th1 0.0000 0.0000 0.0000
Ga1 0.0000 0.5000 0.5000
Ga2 0.5000 0.0000 0.5000
Cu1 0.0000 0.0000 0.5000
Ru1 0.5000 0.5000 0.2165
Ru2 0.5000 0.5000 0.7835

Its crystal system is tetragonal. Its total energy is -5.9728 eV per atom. Its magnetic moment is 0.00 μB per atom. Its space-group type is No. 123.

(2)
This record from Alexandria via LeMat-Bulk describes a relaxed structure of La3Dy5Y4. The functional is GGA-PBE.

Cell lengths 6.2454, 7.1943, 8.8407 Å; angles 89.87, 89.81, 89.87 degrees
Fractional positions:
La1 0.0000 0.0000 0.0000
La2 0.1676 0.2494 0.3324
La3 0.8324 0.7506 0.6676
Dy1 0.0000 0.5000 0.0000
Dy2 0.3360 0.9996 0.6679
Dy3 0.4991 0.7487 0.9993
Dy4 0.5009 0.2513 0.0007
Dy5 0.6640 0.0004 0.3321
Y1 0.1703 0.7497 0.3323
Y2 0.3327 0.4997 0.6688
Y3 0.6673 0.5003 0.3312
Y4 0.8297 0.2503 0.6677

Its crystal system is triclinic. Its magnetic moment is 0.00 μB per atom. Its space-group type is No. 2. As for the energy above the most stable polymorph in this dataset: 0 meV per atom.

(3)
This record from Alexandria via LeMat-Bulk describes a relaxed structure of ThInSnN. The functional is GGA-PBE.

Cell lengths 4.2899, 4.2899, 10.7248 Å; angles 90.00, 90.00, 90.00 degrees
Fractional positions:
Th1 0.2500 0.2500 0.0985
Th2 0.7500 0.7500 0.9015
In1 0.2500 0.2500 0.7137
In2 0.7500 0.7500 0.2863
Sn1 0.2500 0.7500 0.5000
Sn2 0.7500 0.2500 0.5000
N1 0.2500 0.7500 0.0000
N2 0.7500 0.2500 0.0000

The uncorrected formation energy is -0.777 eV per atom. Its crystal system is tetragonal. Its magnetic moment is 0.00 μB per atom. Its space-group type is No. 129.